# KTl2AsAu | the Alexandria database | PBE | relaxed
data_KTl2AsAu
_chemical_formula_sum 'K1 Tl2 As1 Au1'
_space_group_name_H-M_alt 'P 4/m m m'
_space_group_IT_number 123
_space_group_name_Hall '-P 4 2'
_cell_length_a 5.781
_cell_length_b 5.781
_cell_length_c 5.096
_cell_angle_alpha 90.00
_cell_angle_beta 90.00
_cell_angle_gamma 90.00
loop_
_atom_site_label
_atom_site_type_symbol
_atom_site_fract_x
_atom_site_fract_y
_atom_site_fract_z
K1 K 0.000 0.000 0.000
Tl1 Tl 0.000 0.500 0.500
As1 As 0.500 0.500 0.000
Au1 Au 0.500 0.500 0.500
# Crystal system: tetragonal
# Calculated total energy: -2.686 eV/atom



# LaAs2Au | the Alexandria database | PBE | relaxed
data_LaAs2Au
_chemical_formula_sum 'La1 As2 Au1'
_space_group_name_H-M_alt 'P 1 2/m 1'
_space_group_IT_number 10
_cell_length_a 4.220
_cell_length_b 4.087
_cell_length_c 5.875
_cell_angle_alpha 90.00
_cell_angle_beta 92.53
_cell_angle_gamma 90.00
loop_
_space_group_symop_operation_xyz
'x,y,z'
'-x,-y,-z'
'-x,y,-z'
'x,-y,z'
loop_
_atom_site_label
_atom_site_type_symbol
_atom_site_fract_x
_atom_site_fract_y
_atom_site_fract_z
La1 La 0.000 0.000 0.000
As1 As 0.467 0.500 0.777
Au1 Au 0.500 0.000 0.500
# Crystal system: monoclinic
# Calculated total energy: -5.087 eV/atom



# LaAsAu4 | the Alexandria database | PBE | relaxed
data_LaAsAu4
_chemical_formula_sum 'La4 As4 Au16'
_space_group_name_H-M_alt 'F -4 3 m'
_space_group_IT_number 216
_space_group_name_Hall 'F -4 2 3'
_cell_length_a 8.003
_cell_length_b 8.003
_cell_length_c 8.003
_cell_angle_alpha 90.00
_cell_angle_beta 90.00
_cell_angle_gamma 90.00
loop_
_atom_site_label
_atom_site_type_symbol
_atom_site_fract_x
_atom_site_fract_y
_atom_site_fract_z
La1 La 0.000 0.000 0.000
As1 As 0.250 0.250 0.250
Au1 Au 0.125 0.125 0.625
# Crystal system: cubic
# Calculated total energy: -4.218 eV/atom



# La2AsAu | the Alexandria database | PBE | relaxed
data_La2AsAu
_chemical_formula_sum 'La2 As1 Au1'
_space_group_name_H-M_alt 'P 4/m m m'
_space_group_IT_number 123
_space_group_name_Hall '-P 4 2'
_cell_length_a 5.218
_cell_length_b 5.218
_cell_length_c 3.881
_cell_angle_alpha 90.00
_cell_angle_beta 90.00
_cell_angle_gamma 90.00
loop_
_atom_site_label
_atom_site_type_symbol
_atom_site_fract_x
_atom_site_fract_y
_atom_site_fract_z
La1 La 0.000 0.500 0.000
As1 As 0.000 0.000 0.500
Au1 Au 0.500 0.500 0.500
# Crystal system: tetragonal
# Calculated total energy: -5.463 eV/atom



# LaAsAu2 | the Alexandria database | PBE | relaxed
data_LaAsAu2
_chemical_formula_sum 'La1 As1 Au2'
_space_group_name_H-M_alt 'P 4 m m'
_space_group_IT_number 99
_cell_length_a 3.667
_cell_length_b 3.667
_cell_length_c 6.708
_cell_angle_alpha 90.00
_cell_angle_beta 90.00
_cell_angle_gamma 90.00
loop_
_space_group_symop_operation_xyz
'x,y,z'
'-y,x,z'
'-x,-y,z'
'y,-x,z'
'-x,y,z'
'y,x,z'
'x,-y,z'
'-y,-x,z'
loop_
_atom_site_label
_atom_site_type_symbol
_atom_site_fract_x
_atom_site_fract_y
_atom_site_fract_z
La1 La 0.000 0.000 0.000
As1 As 0.500 0.500 0.320
Au1 Au 0.000 0.000 0.495
Au2 Au 0.500 0.500 0.732
# Crystal system: tetragonal
# Calculated total energy: -4.449 eV/atom



# LaAs2Au | the Alexandria database | PBE | relaxed
data_LaAs2Au
_chemical_formula_sum 'La2 As4 Au2'
_space_group_name_H-M_alt 'C 1 m 1'
_space_group_IT_number 8
_cell_length_a 10.878
_cell_length_b 4.455
_cell_length_c 4.294
_cell_angle_alpha 90.00
_cell_angle_beta 110.41
_cell_angle_gamma 90.00
loop_
_space_group_symop_operation_xyz
'x,y,z'
'x,-y,z'
'x+1/2,y+1/2,z'
'x+1/2,-y+1/2,z'
loop_
_atom_site_label
_atom_site_type_symbol
_atom_site_fract_x
_atom_site_fract_y
_atom_site_fract_z
La1 La 0.000 0.000 0.000
As1 As 0.073 0.500 0.586
As2 As 0.339 0.000 0.176
Au1 Au 0.246 0.500 0.288
# Crystal system: monoclinic
# Calculated total energy: -5.185 eV/atom



# LaAs2Au | the Alexandria database | PBE | relaxed
data_LaAs2Au
_chemical_formula_sum 'La8 As16 Au8'
_space_group_name_H-M_alt 'F m m 2'
_space_group_IT_number 42
_space_group_name_Hall 'F 2 -2'
_cell_length_a 5.917
_cell_length_b 20.904
_cell_length_c 5.903
_cell_angle_alpha 90.00
_cell_angle_beta 90.00
_cell_angle_gamma 90.00
loop_
_atom_site_label
_atom_site_type_symbol
_atom_site_fract_x
_atom_site_fract_y
_atom_site_fract_z
La1 La 0.000 0.118 0.000
As1 As 0.000 0.162 0.500
As2 As 0.215 0.000 0.270
Au1 Au 0.250 0.250 0.245
# Crystal system: orthorhombic
# Calculated total energy: -5.200 eV/atom



# LaAsAu2 | the Alexandria database | PBE | relaxed
data_LaAsAu2
_chemical_formula_sum 'La1 As1 Au2'
_space_group_name_H-M_alt 'P 4/m m m'
_space_group_IT_number 123
_space_group_name_Hall '-P 4 2'
_cell_length_a 4.278
_cell_length_b 4.278
_cell_length_c 4.996
_cell_angle_alpha 90.00
_cell_angle_beta 90.00
_cell_angle_gamma 90.00
loop_
_atom_site_label
_atom_site_type_symbol
_atom_site_fract_x
_atom_site_fract_y
_atom_site_fract_z
La1 La 0.000 0.000 0.000
As1 As 0.500 0.500 0.000
Au1 Au 0.000 0.500 0.500
# Crystal system: tetragonal
# Calculated total energy: -4.648 eV/atom



# LaAs2Au | the Alexandria database | PBE | relaxed
data_LaAs2Au
_chemical_formula_sum 'La3 As6 Au3'
_space_group_name_H-M_alt 'R -3 m'
_space_group_IT_number 166
_space_group_name_Hall '-R 3 2"'
_cell_length_a 4.6245
_cell_length_b 4.6245
_cell_length_c 15.0049
_cell_angle_alpha 90.00
_cell_angle_beta 90.00
_cell_angle_gamma 120.00
loop_
_atom_site_label
_atom_site_type_symbol
_atom_site_fract_x
_atom_site_fract_y
_atom_site_fract_z
La1 La 0.0000 0.0000 0.0000
As1 As 0.0000 0.0000 0.2157
Au1 Au 0.0000 0.0000 0.5000
# Crystal system: trigonal
# Calculated total energy: -4.964 eV/atom



# La4As6Au5 | the Alexandria database | PBE | relaxed
data_La4As6Au5
_chemical_formula_sum 'La16 As24 Au20'
_space_group_name_H-M_alt 'C m c 21'
_space_group_IT_number 36
_cell_length_a 4.324
_cell_length_b 20.949
_cell_length_c 15.913
_cell_angle_alpha 90.00
_cell_angle_beta 90.00
_cell_angle_gamma 90.00
loop_
_space_group_symop_operation_xyz
'x,y,z'
'-x,-y,z+1/2'
'-x,y,z'
'x,-y,z+1/2'
'x+1/2,y+1/2,z'
'-x+1/2,-y+1/2,z+1/2'
'-x+1/2,y+1/2,z'
'x+1/2,-y+1/2,z+1/2'
loop_
_atom_site_label
_atom_site_type_symbol
_atom_site_fract_x
_atom_site_fract_y
_atom_site_fract_z
La1 La 0.000 0.015 0.000
La2 La 0.000 0.037 0.272
La3 La 0.000 0.172 0.794
La4 La 0.000 0.180 0.452
As1 As 0.000 0.110 0.618
As2 As 0.000 0.220 0.004
As3 As 0.000 0.225 0.253
As4 As 0.000 0.420 0.910
As5 As 0.000 0.435 0.362
As6 As 0.000 0.444 0.631
Au1 Au 0.000 0.135 0.122
Au2 Au 0.000 0.307 0.122
Au3 Au 0.000 0.334 0.793
Au4 Au 0.000 0.335 0.452
Au5 Au 0.000 0.437 0.196
# Crystal system: orthorhombic
# Calculated total energy: -5.109 eV/atom



# LaAs2Au | the Alexandria database | PBE | relaxed
data_LaAs2Au
_chemical_formula_sum 'La4 As8 Au4'
_space_group_name_H-M_alt 'F -4 3 m'
_space_group_IT_number 216
_space_group_name_Hall 'F -4 2 3'
_cell_length_a 7.170
_cell_length_b 7.170
_cell_length_c 7.170
_cell_angle_alpha 90.00
_cell_angle_beta 90.00
_cell_angle_gamma 90.00
loop_
_atom_site_label
_atom_site_type_symbol
_atom_site_fract_x
_atom_site_fract_y
_atom_site_fract_z
La1 La 0.000 0.000 0.000
As1 As 0.000 0.000 0.500
As2 As 0.250 0.250 0.250
Au1 Au 0.250 0.250 0.750
# Crystal system: cubic
# Calculated total energy: -4.831 eV/atom



# LaAsAu2 | the Alexandria database | PBE | relaxed
data_LaAsAu2
_chemical_formula_sum 'La4 As4 Au8'
_space_group_name_H-M_alt 'F m m m'
_space_group_IT_number 69
_space_group_name_Hall '-F 2 2'
_cell_length_a 5.937
_cell_length_b 6.281
_cell_length_c 10.349
_cell_angle_alpha 90.00
_cell_angle_beta 90.00
_cell_angle_gamma 90.00
loop_
_atom_site_label
_atom_site_type_symbol
_atom_site_fract_x
_atom_site_fract_y
_atom_site_fract_z
La1 La 0.000 0.000 0.000
As1 As 0.000 0.000 0.500
Au1 Au 0.000 0.250 0.250
# Crystal system: orthorhombic
# Calculated total energy: -4.555 eV/atom



# LaAsAu2 | the Alexandria database | PBE | relaxed
data_LaAsAu2
_chemical_formula_sum 'La2 As2 Au4'
_space_group_name_H-M_alt 'C 1 m 1'
_space_group_IT_number 8
_cell_length_a 11.118
_cell_length_b 4.408
_cell_length_c 4.408
_cell_angle_alpha 90.00
_cell_angle_beta 113.14
_cell_angle_gamma 90.00
loop_
_space_group_symop_operation_xyz
'x,y,z'
'x,-y,z'
'x+1/2,y+1/2,z'
'x+1/2,-y+1/2,z'
loop_
_atom_site_label
_atom_site_type_symbol
_atom_site_fract_x
_atom_site_fract_y
_atom_site_fract_z
La1 La 0.000 0.000 0.000
As1 As 0.250 0.500 0.247
Au1 Au 0.132 0.500 0.630
Au2 Au 0.368 0.000 0.371
# Crystal system: monoclinic
# Calculated total energy: -4.722 eV/atom



# LaAs2Au | the Alexandria database | PBE | relaxed
data_LaAs2Au
_chemical_formula_sum 'La2 As4 Au2'
_space_group_name_H-M_alt 'I m m 2'
_space_group_IT_number 44
_cell_length_a 3.972
_cell_length_b 4.846
_cell_length_c 9.480
_cell_angle_alpha 90.00
_cell_angle_beta 90.00
_cell_angle_gamma 90.00
loop_
_space_group_symop_operation_xyz
'x,y,z'
'-x,-y,z'
'-x,y,z'
'x,-y,z'
'x+1/2,y+1/2,z+1/2'
'-x+1/2,-y+1/2,z+1/2'
'-x+1/2,y+1/2,z+1/2'
'x+1/2,-y+1/2,z+1/2'
loop_
_atom_site_label
_atom_site_type_symbol
_atom_site_fract_x
_atom_site_fract_y
_atom_site_fract_z
La1 La 0.000 0.000 0.000
As1 As 0.000 0.000 0.493
As2 As 0.000 0.500 0.786
Au1 Au 0.000 0.500 0.210
# Crystal system: orthorhombic
# Calculated total energy: -4.986 eV/atom